Here is a relaxed Y2TlPt crystal from Alexandria. Energies are from PBE.

Structure (POSCAR):
```
Y2TlPt
1.0
-3.220 1.698 1.712
-0.473 -0.157 3.992
2.819 7.433 2.655
Y Tl Pt
2 1 1
Cartesian
2.009 6.050 2.504
-0.428 1.885 2.051
-0.443 4.477 4.178
-2.449 1.049 3.805
```

Total moment: 0.0 μB/cell
Formation enthalpy at 0 K: -0.707 eV per atom
Final energy: -0.4440 Ry/atom
Space-group type: No. 160